The following is a DFT calculation (PBE+U) of a relaxed V6O7F5 crystal.

Calculated values
Crystal system: triclinic
Space group: No. 1
Final energy (eV/cell): -130.73

The structure in POSCAR format:
```
V6O7F5
1.0
4.633 0.004 0.011
0.088 5.622 -0.005
0.137 0.394 7.825
V O F
6 7 5
direct
0.533 0.846 0.652 V
0.502 0.495 0.001 V
0.478 0.174 0.351 V
0.997 0.321 0.694 V
0.989 0.663 0.320 V
0.990 0.988 0.994 V
0.806 0.701 0.093 O
0.795 0.043 0.770 O
0.712 0.536 0.761 O
0.703 0.880 0.425 O
0.282 0.149 0.568 O
0.309 0.462 0.231 O
0.194 0.283 0.904 O
0.801 0.372 0.444 F
0.704 0.195 0.114 F
0.302 0.793 0.887 F
0.204 0.961 0.226 F
0.199 0.639 0.565 F
```